Arrangement a

CsPWS2: relaxed, GGA-PBE.

```
CsPWS2
1.0
4.876 0.000 0.000
0.000 4.876 0.000
0.000 0.000 4.819
Cs P W S
1 1 1 2
direct
0.000 0.000 0.000 Cs
0.500 0.500 0.000 P
0.500 0.500 0.500 W
0.000 0.500 0.500 S
0.500 0.000 0.500 S
```

Properties
Spin magnetization, μB/cell: 0.000



Arrangement b

CsPWS2: relaxed, GGA-PBE.

```
CsPWS2
1.0
5.135 0.000 0.000
0.000 5.135 0.000
0.000 0.000 5.545
Cs P W S
1 1 1 2
direct
0.000 0.000 0.000 Cs
0.000 0.000 0.500 P
0.500 0.500 0.500 W
0.000 0.500 0.000 S
0.500 0.000 0.000 S
```

Properties
Spin magnetization, μB/cell: 0.092



Stability, lowest: arrangement b



Arrangement a

CsYPS2: relaxed, GGA-PBE.

```
CsYPS2
1.0
5.149 0.000 0.000
0.000 5.149 0.000
0.000 0.000 5.588
Cs Y P S
1 1 1 2
direct
0.000 0.000 0.000 Cs
0.500 0.500 0.500 Y
0.000 0.000 0.500 P
0.000 0.500 0.000 S
0.500 0.000 0.000 S
```

Properties
Spin magnetization, μB/cell: 0.000



Arrangement b

CsYPS2: relaxed, GGA-PBE.

```
CsYPS2
1.0
5.373 0.000 0.000
0.000 5.373 0.000
0.000 0.000 5.623
Cs Y P S
1 1 1 2
direct
0.000 0.000 0.000 Cs
0.500 0.500 0.500 Y
0.500 0.500 0.000 P
0.000 0.500 0.500 S
0.500 0.000 0.500 S
```

Properties
Spin magnetization, μB/cell: 2.131



Stability, lowest: arrangement a



Arrangement a

CsZrPS2: relaxed, GGA-PBE.

```
CsZrPS2
1.0
5.140 0.000 0.000
0.000 5.140 0.000
0.000 0.000 5.518
Cs Zr P S
1 1 1 2
direct
0.000 0.000 0.000 Cs
0.500 0.500 0.500 Zr
0.000 0.000 0.500 P
0.000 0.500 0.000 S
0.500 0.000 0.000 S
```

Properties
Spin magnetization, μB/cell: 1.003



Arrangement b

CsZrPS2: relaxed, GGA-PBE.

```
CsZrPS2
1.0
5.127 0.000 0.000
0.000 5.127 0.000
0.000 0.000 5.183
Cs Zr P S
1 1 1 2
direct
0.000 0.000 0.000 Cs
0.500 0.500 0.500 Zr
0.500 0.500 0.000 P
0.000 0.500 0.500 S
0.500 0.000 0.500 S
```

Properties
Spin magnetization, μB/cell: 0.941



Stability, lowest: arrangement a



Arrangement a

Cs2SbP: relaxed, GGA-PBE.

```
Cs2SbP
1.0
0.000 4.369 4.369
4.369 0.000 4.369
4.369 4.369 0.000
Cs Sb P
2 1 1
direct
0.250 0.250 0.250 Cs
0.750 0.750 0.750 Cs
0.000 0.000 0.000 Sb
0.500 0.500 0.500 P
```

Properties
Spin magnetization, μB/cell: 0.001



Arrangement b

Cs2SbP: relaxed, GGA-PBE.

```
Cs2SbP
1.0
7.720 0.000 0.000
0.000 6.966 0.000
-6.390 0.000 12.692
Cs Sb P
8 4 4
direct
0.213 0.176 0.019 Cs
0.213 0.324 0.519 Cs
0.231 0.621 0.839 Cs
0.231 0.879 0.339 Cs
0.769 0.121 0.661 Cs
0.769 0.379 0.161 Cs
0.787 0.676 0.481 Cs
0.787 0.824 0.981 Cs
0.359 0.114 0.783 Sb
0.359 0.386 0.283 Sb
0.641 0.614 0.717 Sb
0.641 0.886 0.217 Sb
0.351 0.648 0.148 P
0.351 0.852 0.648 P
0.649 0.148 0.352 P
0.649 0.352 0.852 P
```

Properties
Spin magnetization, μB/cell: 0.000



Stability, lowest: arrangement a



Arrangement a

Cs2PSe5: relaxed, GGA-PBE.

```
Cs2PSe5
1.0
7.592 0.000 0.000
0.628 7.786 0.000
0.498 0.902 10.473
Cs P Se
4 2 10
direct
0.205 0.362 0.371 Cs
0.224 0.777 0.968 Cs
0.776 0.223 0.032 Cs
0.795 0.638 0.629 Cs
0.243 0.298 0.777 P
0.757 0.702 0.223 P
0.013 0.186 0.711 Se
0.269 0.270 0.987 Se
0.295 0.547 0.676 Se
0.407 0.896 0.458 Se
0.495 0.105 0.757 Se
0.505 0.895 0.243 Se
0.593 0.104 0.542 Se
0.705 0.453 0.324 Se
0.731 0.730 0.013 Se
0.987 0.814 0.289 Se
```

Properties
Spin magnetization, μB/cell: 0.000



Arrangement b

Cs2PSe5: relaxed, GGA-PBE.

```
Cs2PSe5
1.0
6.145 -3.781 0.000
6.145 3.781 0.000
-3.472 0.000 8.361
Cs P Se
2 1 5
direct
0.000 0.000 0.000 Cs
0.556 0.556 0.445 Cs
0.253 0.253 0.558 P
0.065 0.065 0.462 Se
0.104 0.589 0.595 Se
0.146 0.450 0.085 Se
0.450 0.146 0.085 Se
0.589 0.104 0.595 Se
```

Properties
Spin magnetization, μB/cell: 1.032



Stability, lowest: arrangement b



Arrangement a

CsPSe: relaxed, GGA-PBE.

```
CsPSe
1.0
5.146 -3.427 0.000
5.146 3.427 0.000
-4.064 0.000 6.547
Cs P Se
2 2 2
direct
0.198 0.198 0.281 Cs
0.802 0.802 0.719 Cs
0.426 0.426 0.054 P
0.574 0.574 0.946 P
0.192 0.192 0.773 Se
0.808 0.808 0.227 Se
```

Properties
Spin magnetization, μB/cell: 0.000



Arrangement b

CsPSe: relaxed, GGA-PBE.

```
CsPSe
1.0
3.544 0.000 0.000
-0.026 5.978 0.000
-1.702 -2.850 9.481
Cs P Se
2 2 2
direct
0.000 0.000 0.000 Cs
0.211 0.921 0.432 Cs
0.347 0.555 0.693 P
0.867 0.367 0.739 P
0.560 0.533 0.119 Se
0.651 0.388 0.313 Se
```

Properties
Spin magnetization, μB/cell: 0.000



Stability, lowest: arrangement b



Arrangement a

Cs2SiP: relaxed, GGA-PBE.

```
Cs2SiP
1.0
5.445 -5.490 0.000
5.445 5.490 0.000
0.000 0.000 10.104
Cs Si P
8 4 4
direct
0.001 0.499 0.750 Cs
0.001 0.999 0.821 Cs
0.499 0.001 0.250 Cs
0.499 0.501 0.321 Cs
0.501 0.499 0.679 Cs
0.501 0.999 0.750 Cs
0.999 0.001 0.179 Cs
0.999 0.501 0.250 Cs
0.144 0.856 0.499 Si
0.356 0.644 0.999 Si
0.644 0.356 0.001 Si
0.856 0.144 0.501 Si
0.153 0.153 0.500 P
0.347 0.347 0.000 P
0.653 0.653 0.000 P
0.847 0.847 0.500 P
```

Properties
Spin magnetization, μB/cell: 0.000



Arrangement b

Cs2SiP: relaxed, GGA-PBE.

```
Cs2SiP
1.0
0.000 4.310 4.310
4.310 0.000 4.310
4.310 4.310 0.000
Cs Si P
2 1 1
direct
0.250 0.250 0.250 Cs
0.750 0.750 0.750 Cs
0.000 0.000 0.000 Si
0.500 0.500 0.500 P
```

Properties
Spin magnetization, μB/cell: 1.000



Arrangement c

Cs2SiP: relaxed, GGA-PBE.

```
Cs2SiP
1.0
-6.907 6.907 2.323
6.907 -6.907 2.323
6.907 6.907 -2.323
Cs Si P
4 2 2
direct
0.375 0.164 0.289 Cs
0.836 0.125 0.211 Cs
0.875 0.086 0.711 Cs
0.914 0.625 0.789 Cs
0.250 0.750 0.500 Si
0.500 0.500 0.000 Si
0.000 0.000 0.000 P
0.750 0.250 0.500 P
```

Properties
Spin magnetization, μB/cell: 0.001



Stability, lowest: arrangement b



Arrangement a

CsSi2P2: relaxed, GGA-PBE.

```
CsSi2P2
1.0
5.900 0.000 0.000
0.857 6.428 0.000
2.898 2.117 7.399
Cs Si P
2 4 4
direct
0.247 0.241 0.088 Cs
0.753 0.759 0.912 Cs
0.229 0.535 0.502 Si
0.318 0.073 0.664 Si
0.682 0.927 0.336 Si
0.771 0.465 0.498 Si
0.056 0.698 0.287 P
0.440 0.712 0.604 P
0.560 0.288 0.396 P
0.944 0.302 0.713 P
```

Properties
Spin magnetization, μB/cell: 0.000



Arrangement b

CsSi2P2: relaxed, GGA-PBE.

```
CsSi2P2
1.0
-2.232 2.232 6.390
2.232 -2.232 6.390
2.232 2.232 -6.390
Cs Si P
1 2 2
direct
0.000 0.000 0.000 Cs
0.250 0.750 0.500 Si
0.750 0.250 0.500 Si
0.320 0.320 0.000 P
0.680 0.680 0.000 P
```

Properties
Spin magnetization, μB/cell: 0.000



Stability, lowest: arrangement a